#one
Entry from the Alexandria database: an optimized crystal structure of CaHo2Te4 (GGA-PBE).

a = 7.5101 Å, b = 4.3919 Å, c = 7.7462 Å
α = 90.00°, β = 107.73°, γ = 90.00°
With the nearest neighbours (Å) after each atom.
Space group P2/m (No. 10)
Unique sites:
Ca 0.0000 0.0000 0.0000 [1 per cell]  6 Te 3.13-3.20
Ho 0.0000 0.5000 0.5000 [1 per cell]  6 Te 3.09-3.11
Ho 0.5000 0.0000 0.5000 [1 per cell]  6 Te 3.03-3.09
Te 0.2451 0.0000 0.7370 [2 per cell]  3 Ho 3.03-3.09, 1 Ca 3.13
Te 0.2611 0.5000 0.2559 [2 per cell]  3 Ho 3.09-3.11, 2 Ca 3.20

=====

#two
Entry from the Alexandria database: an optimized crystal structure of CaHo2Te4 (GGA-PBE).

a = 4.3334 Å, b = 14.2897 Å, c = 15.0947 Å
α = 90.00°, β = 90.00°, γ = 90.00°
With the nearest neighbours (Å) after each atom.
Space group Cmcm (No. 63)
Unique sites:
Ca 0.0000 0.1151 0.2500 [4 per cell]  6 Te 3.13-3.33
Ho 0.0000 0.3656 0.0699 [8 per cell]  6 Te 3.01-3.12
Te 0.0000 0.0000 0.0000 [4 per cell]  4 Ho 3.08
Te 0.0000 0.2753 0.6185 [8 per cell]  3 Ho 3.05-3.12, 2 Ca 3.33
Te 0.0000 0.4566 0.2500 [4 per cell]  2 Ho 3.01, 2 Ca 3.13

=====

Result of the stability comparison: #two is the least stable of them.

=====

#one
Entry from the Alexandria database: an optimized crystal structure of CaHoTh2 (GGA-PBE).

a = 3.4992 Å, b = 3.4992 Å, c = 38.5739 Å
α = 90.00°, β = 90.00°, γ = 120.00°
With the nearest neighbours (Å) after each atom.
Space group R-3m (No. 166, hexagonal axes)
Unique sites:
Ca 0.0000 0.0000 0.0000 [3 per cell]  2 Th 3.47, 6 Ca 3.50
Ho 0.0000 0.0000 0.5000 [3 per cell]  6 Ho 3.50, 6 Th 3.58
Th 0.0000 0.0000 0.0900 [6 per cell]  1 Ca 3.47, 6 Th 3.50, 3 Ho 3.58

## Properties
Density of states at the Fermi level in states/eV/f.u.: 6.42

=====

#two
Entry from the Alexandria database: an optimized crystal structure of CaHoTh2 (GGA-PBE).

a = 5.0360 Å, b = 5.0360 Å, c = 5.2044 Å
α = 90.00°, β = 90.00°, γ = 90.00°
With the nearest neighbours (Å) after each atom.
Space group P4/mmm (No. 123)
Unique sites:
Ca 0.0000 0.0000 0.0000 [1 per cell]  4 Ho 3.56, 8 Th 3.62
Ho 0.5000 0.5000 0.0000 [1 per cell]  4 Ca 3.56, 8 Th 3.62
Th 0.0000 0.5000 0.5000 [2 per cell]  4 Th 3.56, 4 Ho 3.62, 4 Ca 3.62

## Properties
Density of states at the Fermi level in states/eV/f.u.: 5.23

=====

Result of the stability comparison: #one is the least stable of them.

=====

#one
Entry from the Alexandria database: an optimized crystal structure of CaHo2Th (GGA-PBE).

a = 3.5610 Å, b = 3.5610 Å, c = 37.1198 Å
α = 90.00°, β = 90.00°, γ = 120.00°
With the nearest neighbours (Å) after each atom.
Space group R-3m (No. 166, hexagonal axes)
Unique sites:
Ca 0.0000 0.0000 0.0000 [3 per cell]  2 Ho 3.41, 6 Ca 3.56
Ho 0.0000 0.0000 0.0919 [6 per cell]  1 Ca 3.41, 3 Th 3.46, 6 Ho 3.56
Th 0.0000 0.0000 0.5000 [3 per cell]  6 Ho 3.46, 6 Th 3.56

## Properties
Density of states at the Fermi level in states/eV/f.u.: 5.36

=====

#two
Entry from the Alexandria database: an optimized crystal structure of CaHo2Th (GGA-PBE).

a = 3.6056 Å, b = 3.6056 Å, c = 35.5533 Å
α = 90.00°, β = 90.00°, γ = 120.00°
With the nearest neighbours (Å) after each atom.
Space group R3m (No. 160, hexagonal axes)
Unique sites:
Ca 0.0000 0.0000 0.0000 [3 per cell]  6 Ca 3.61, 6 Ho 3.76-3.81
Ho 0.0000 0.0000 0.2451 [3 per cell]  3 Th 3.45, 6 Ho 3.61, 3 Ca 3.76
Ho 0.0000 0.0000 0.4229 [3 per cell]  3 Th 3.47, 6 Ho 3.61, 3 Ca 3.81
Th 0.0000 0.0000 0.8342 [3 per cell]  6 Ho 3.45-3.47, 6 Th 3.61

## Properties
Density of states at the Fermi level in states/eV/f.u.: 5.29

=====

Result of the stability comparison: #one is the least stable of them.

=====

#one
Entry from the Alexandria database: an optimized crystal structure of CaHo2Th (GGA-PBE).

a = 5.8777 Å, b = 5.8777 Å, c = 3.8139 Å
α = 90.00°, β = 90.00°, γ = 90.00°
With the nearest neighbours (Å) after each atom.
Space group P4/mmm (No. 123)
Unique sites:
Ca 0.0000 0.0000 0.0000 [1 per cell]  8 Ho 3.50, 2 Ca 3.81
Ho 0.0000 0.5000 0.5000 [2 per cell]  4 Th 3.50, 4 Ca 3.50, 2 Ho 3.81
Th 0.5000 0.5000 0.0000 [1 per cell]  8 Ho 3.50, 2 Th 3.81

## Properties
Density of states at the Fermi level in states/eV/f.u.: 6.05

=====

#two
Entry from the Alexandria database: an optimized crystal structure of CaHo2Th (GGA-PBE).

a = 3.6335 Å, b = 3.6335 Å, c = 10.2385 Å
α = 90.00°, β = 90.00°, γ = 90.00°
With the nearest neighbours (Å) after each atom.
Space group P4/mmm (No. 123)
Unique sites:
Ca 0.0000 0.0000 0.0000 [1 per cell]  4 Ca 3.63, 8 Ho 3.80
Ho 0.5000 0.5000 0.2740 [2 per cell]  4 Th 3.46, 4 Ho 3.63, 4 Ca 3.80
Th 0.0000 0.0000 0.5000 [1 per cell]  8 Ho 3.46, 4 Th 3.63

## Properties
Density of states at the Fermi level in states/eV/f.u.: 5.19

=====

Result of the stability comparison: #one is the least stable of them.

=====

#one
Entry from the Alexandria database: an optimized crystal structure of Ca2HoTl (GGA-PBE).

a = 4.1813 Å, b = 4.1813 Å, c = 7.3318 Å
α = 90.00°, β = 90.00°, γ = 90.00°
With the nearest neighbours (Å) after each atom.
Space group P4/mmm (No. 123)
Unique sites:
Ca 0.0000 0.0000 0.2351 [2 per cell]  4 Tl 3.42, 1 Ca 3.45, 4 Ho 3.54
Ho 0.5000 0.5000 0.5000 [1 per cell]  8 Ca 3.54, 2 Tl 3.67
Tl 0.5000 0.5000 0.0000 [1 per cell]  8 Ca 3.42, 2 Ho 3.67

## Properties
Density of states at the Fermi level in states/eV/f.u.: 2.79

=====

#two
Entry from the Alexandria database: an optimized crystal structure of Ca2HoTl (GGA-PBE).

a = 3.7211 Å, b = 3.7211 Å, c = 33.6763 Å
α = 90.00°, β = 90.00°, γ = 120.00°
With the nearest neighbours (Å) after each atom.
Space group R3m (No. 160, hexagonal axes)
Unique sites:
Ca 0.0000 0.0000 0.0000 [3 per cell]  3 Tl 3.34, 6 Ca 3.72
Ca 0.0000 0.0000 0.1817 [3 per cell]  3 Tl 3.34, 3 Ho 3.72, 6 Ca 3.72
Ho 0.0000 0.0000 0.4251 [3 per cell]  6 Ca 3.72-3.76, 6 Ho 3.72
Tl 0.0000 0.0000 0.5908 [3 per cell]  6 Ca 3.34, 6 Tl 3.72

## Properties
Density of states at the Fermi level in states/eV/f.u.: 4.99

=====

Result of the stability comparison: #two is the least stable of them.

=====

#one
Entry from the Alexandria database: an optimized crystal structure of Ca2HoTl (GGA-PBE).

a = 4.8515 Å, b = 4.8515 Å, c = 5.2234 Å
α = 90.00°, β = 90.00°, γ = 90.00°
With the nearest neighbours (Å) after each atom.
Space group P4/mmm (No. 123)
Unique sites:
Ca 0.0000 0.5000 0.0000 [2 per cell]  4 Ca 3.43, 4 Tl 3.56, 4 Ho 3.56
Ho 0.0000 0.0000 0.5000 [1 per cell]  4 Tl 3.43, 8 Ca 3.56
Tl 0.5000 0.5000 0.5000 [1 per cell]  4 Ho 3.43, 8 Ca 3.56

## Properties
Density of states at the Fermi level in states/eV/f.u.: 1.16

=====

#two
Entry from the Alexandria database: an optimized crystal structure of Ca2HoTl (GGA-PBE).

a = 3.6571 Å, b = 3.6571 Å, c = 37.6254 Å
α = 90.00°, β = 90.00°, γ = 120.00°
With the nearest neighbours (Å) after each atom.
Space group R-3m (No. 166, hexagonal axes)
Unique sites:
Ca 0.0000 0.0000 0.0867 [6 per cell]  1 Tl 3.26
Ho 0.0000 0.0000 0.5000 [3 per cell]  6 Ho 3.66, 6 Ca 3.67
Tl 0.0000 0.0000 0.0000 [3 per cell]  2 Ca 3.26

## Properties
Density of states at the Fermi level in states/eV/f.u.: 5.56

=====

Result of the stability comparison: #two is the least stable of them.

=====

#one
Entry from the Alexandria database: an optimized crystal structure of CaHo3Tl2 (GGA-PBE).

a = 5.3601 Å, b = 9.3773 Å, c = 6.8372 Å
α = 90.00°, β = 90.00°, γ = 90.00°
With the nearest neighbours (Å) after each atom.
Space group Pmc2_1 (No. 26)
Unique sites:
Ca 0.0000 0.0196 0.0000 [2 per cell]  5 Tl 3.39-3.62, 2 Ca 3.44, 6 Ho 3.54-3.62
Ho 0.0000 0.3337 0.7139 [2 per cell]  4 Tl 3.09-3.27
Ho 0.5000 0.1717 0.2729 [2 per cell]  4 Tl 3.11-3.27
Ho 0.5000 0.4830 0.9859 [2 per cell]  6 Tl 3.39-3.77, 8 Ho 3.43-3.55
Tl 0.0000 0.3375 0.2361 [2 per cell]  4 Ho 3.09-3.27, 1 Ca 3.39
Tl 0.5000 0.1646 0.7510 [2 per cell]  5 Ho 3.12-3.39, 2 Ca 3.45

## Properties
Density of states at the Fermi level in states/eV/f.u.: 4.18

=====

#two
Entry from the Alexandria database: an optimized crystal structure of CaHo3Tl2 (GGA-PBE).

a = 16.2720 Å, b = 5.4413 Å, c = 9.2387 Å
α = 90.00°, β = 117.68°, γ = 90.00°
With the nearest neighbours (Å) after each atom.
Space group C2/m (No. 12)
Unique sites:
Ca 0.1347 0.0000 0.1842 [4 per cell]  5 Tl 3.26-3.50, 2 Ho 3.61
Ho 0.0595 0.0000 0.7117 [4 per cell]  3 Tl 3.25-3.40, 3 Ho 3.47-3.49
Ho 0.1142 0.5000 0.5356 [4 per cell]  3 Tl 2.96-3.16
Ho 0.1907 0.5000 0.9891 [4 per cell]  2 Tl 3.07-3.30, 2 Ho 3.29
Tl 0.0219 0.5000 0.1742 [4 per cell]  1 Tl 2.96, 2 Ho 2.96-3.07, 2 Ca 3.26
Tl 0.2255 0.0000 0.6094 [4 per cell]  5 Ho 3.16-3.44, 3 Ca 3.49-3.50

## Properties
Density of states at the Fermi level in states/eV/f.u.: 6.35

=====

Result of the stability comparison: #two is the least stable of them.

=====

#one
Entry from the Alexandria database: an optimized crystal structure of CaYHo2 (GGA-PBE).

a = 3.6022 Å, b = 3.6022 Å, c = 10.3884 Å
α = 90.00°, β = 90.00°, γ = 90.00°
With the nearest neighbours (Å) after each atom.
Space group P4/mmm (No. 123)
Unique sites:
Ca 0.0000 0.0000 0.0000 [1 per cell]  4 Ca 3.60, 8 Ho 3.77
Y 0.0000 0.0000 0.5000 [1 per cell]  8 Ho 3.51, 4 Y 3.60
Ho 0.5000 0.5000 0.2681 [2 per cell]  4 Y 3.51, 4 Ho 3.60, 4 Ca 3.77

## Properties
Density of states at the Fermi level in states/eV/f.u.: 5.91

=====

#two
Entry from the Alexandria database: an optimized crystal structure of CaYHo2 (GGA-PBE).

a = 3.5886 Å, b = 3.5886 Å, c = 36.1174 Å
α = 90.00°, β = 90.00°, γ = 120.00°
With the nearest neighbours (Å) after each atom.
Space group R-3m (No. 166, hexagonal axes)
Unique sites:
Ca 0.0000 0.0000 0.0000 [3 per cell]  6 Ca 3.59, 6 Ho 3.80
Y 0.0000 0.0000 0.5000 [3 per cell]  6 Ho 3.51, 6 Y 3.59
Ho 0.0000 0.0000 0.2452 [6 per cell]  3 Y 3.51, 6 Ho 3.59, 3 Ca 3.80

## Properties
Density of states at the Fermi level in states/eV/f.u.: 6.34

=====

#three
Entry from the Alexandria database: an optimized crystal structure of CaYHo2 (GGA-PBE).

a = 8.1127 Å, b = 8.1127 Å, c = 8.1127 Å
α = 90.00°, β = 90.00°, γ = 90.00°
With the nearest neighbours (Å) after each atom.
Space group Fm-3m (No. 225)
Unique sites:
Ca 0.0000 0.0000 0.0000 [4 per cell]  8 Ho 3.51
Y 0.0000 0.0000 0.5000 [4 per cell]  8 Ho 3.51
Ho 0.2500 0.2500 0.2500 [8 per cell]  4 Y 3.51, 4 Ca 3.51

## Properties
Density of states at the Fermi level in states/eV/f.u.: 8.26

=====

#four
Entry from the Alexandria database: an optimized crystal structure of CaYHo2 (GGA-PBE).

a = 23.9587 Å, b = 3.4834 Å, c = 6.4328 Å
α = 90.00°, β = 94.11°, γ = 90.00°
With the nearest neighbours (Å) after each atom.
Space group C2/m (No. 12)
Unique sites:
Ca 0.0014 0.0000 0.2492 [4 per cell]  4 Ca 3.20-3.48
Y 0.2482 0.0000 0.2481 [4 per cell]  6 Ho 3.43-3.62, 6 Y 3.48-3.67
Ho 0.1271 0.5000 0.0373 [4 per cell]  6 Ho 3.48-3.70, 3 Y 3.57-3.62, 4 Ca 3.82-3.88
Ho 0.1353 0.0000 0.5462 [4 per cell]  3 Y 3.43-3.47, 6 Ho 3.48-3.70, 2 Ca 3.61

## Properties
Density of states at the Fermi level in states/eV/f.u.: 6.04

=====

Result of the stability comparison: #three is the least stable of them.

=====

#one
Entry from the Alexandria database: an optimized crystal structure of CaYHo2 (GGA-PBE).

a = 3.5883 Å, b = 3.5883 Å, c = 35.9912 Å
α = 90.00°, β = 90.00°, γ = 120.00°
With the nearest neighbours (Å) after each atom.
Space group R3m (No. 160, hexagonal axes)
Unique sites:
Ca 0.0000 0.0000 0.0000 [3 per cell]  6 Ca 3.59, 6 Ho 3.77-3.80
Y 0.0000 0.0000 0.1657 [3 per cell]  6 Ho 3.50-3.52, 6 Y 3.59
Ho 0.0000 0.0000 0.5781 [3 per cell]  3 Y 3.52, 6 Ho 3.59, 3 Ca 3.80
Ho 0.0000 0.0000 0.7540 [3 per cell]  3 Y 3.50, 6 Ho 3.59, 3 Ca 3.77

## Properties
Density of states at the Fermi level in states/eV/f.u.: 5.79

=====

#two
Entry from the Alexandria database: an optimized crystal structure of CaYHo2 (GGA-PBE).

a = 5.0881 Å, b = 5.0881 Å, c = 5.1106 Å
α = 90.00°, β = 90.00°, γ = 90.00°
With the nearest neighbours (Å) after each atom.
Space group P4/mmm (No. 123)
Unique sites:
Ca 0.0000 0.0000 0.0000 [1 per cell]  4 Y 3.60, 8 Ho 3.61
Y 0.5000 0.5000 0.0000 [1 per cell]  4 Ca 3.60, 8 Ho 3.61
Ho 0.0000 0.5000 0.5000 [2 per cell]  4 Ho 3.60, 4 Y 3.61, 4 Ca 3.61

## Properties
Density of states at the Fermi level in states/eV/f.u.: 7.20

=====

Result of the stability comparison: #two is the least stable of them.

=====

#one
Entry from the Alexandria database: an optimized crystal structure of CaHo2Zn (GGA-PBE).

a = 3.5833 Å, b = 3.5833 Å, c = 33.3600 Å
α = 90.00°, β = 90.00°, γ = 120.00°
With the nearest neighbours (Å) after each atom.
Space group R-3m (No. 166, hexagonal axes)
Unique sites:
Ca 0.0000 0.0000 0.0000 [3 per cell]  2 Ho 3.42, 6 Ca 3.58
Ho 0.0000 0.0000 0.1026 [6 per cell]  3 Zn 2.98
Zn 0.0000 0.0000 0.5000 [3 per cell]  6 Ho 2.98

## Properties
Density of states at the Fermi level in states/eV/f.u.: 5.98

=====

#two
Entry from the Alexandria database: an optimized crystal structure of CaHo2Zn (GGA-PBE).

a = 3.6072 Å, b = 3.6072 Å, c = 9.0175 Å
α = 90.00°, β = 90.00°, γ = 90.00°
With the nearest neighbours (Å) after each atom.
Space group P4/mmm (No. 123)
Unique sites:
Ca 0.0000 0.0000 0.0000 [1 per cell]  4 Ca 3.61, 8 Ho 3.81
Ho 0.5000 0.5000 0.3142 [2 per cell]  4 Zn 3.05, 1 Ho 3.35
Zn 0.0000 0.0000 0.5000 [1 per cell]  8 Ho 3.05

## Properties
Density of states at the Fermi level in states/eV/f.u.: 6.34

=====

Result of the stability comparison: #one is the least stable of them.